Co2SiP | PBE-GGA | relaxed

Results
Uncorrected energy, eV per cell: -99.0
Crystal system: tetragonal
Uncorrected formation energy, eV per formula unit: 0.31

The structure in CIF format:
```
data_Co2SiP
_chemical_formula_sum 'Co8 Si4 P4'
_symmetry_space_group_name_H-M 'I -4 2 d'
_symmetry_Int_Tables_number 122
_symmetry_space_group_name_Hall 'I -4 2bw'
_cell_length_a 4.981
_cell_length_b 4.981
_cell_length_c 10.243
_cell_angle_alpha 90.00
_cell_angle_beta 90.00
_cell_angle_gamma 90.00
loop_
_atom_site_label
_atom_site_type_symbol
_atom_site_fract_x
_atom_site_fract_y
_atom_site_fract_z
_atom_site_occupancy
Co1 Co 0.233 0.250 0.125 1
Si1 Si 0.000 0.000 0.500 1
P1 P 0.000 0.000 0.000 1
```

***

CoSiP2 | PBE-GGA | relaxed

Results
Uncorrected energy, eV per cell: -44.2
Crystal system: orthorhombic
Uncorrected formation energy, eV per formula unit: 1.23

The structure in CIF format:
```
data_CoSiP2
_chemical_formula_sum 'Co2 Si2 P4'
_symmetry_space_group_name_H-M 'C m m m'
_symmetry_Int_Tables_number 65
_symmetry_space_group_name_Hall '-C 2 2'
_cell_length_a 4.983
_cell_length_b 6.521
_cell_length_c 3.118
_cell_angle_alpha 90.00
_cell_angle_beta 90.00
_cell_angle_gamma 90.00
loop_
_atom_site_label
_atom_site_type_symbol
_atom_site_fract_x
_atom_site_fract_y
_atom_site_fract_z
_atom_site_occupancy
Co1 Co 0.000 0.000 0.000 1
Si1 Si 0.000 0.500 0.000 1
P1 P 0.250 0.250 0.500 1
```

***

Co4SiP | PBE-GGA | relaxed

Results
Uncorrected energy, eV per cell: -149.6
Crystal system: cubic
Uncorrected formation energy, eV per formula unit: 1.85

The structure in CIF format:
```
data_Co4SiP
_chemical_formula_sum 'Co16 Si4 P4'
_symmetry_space_group_name_H-M 'F -4 3 m'
_symmetry_Int_Tables_number 216
_symmetry_space_group_name_Hall 'F -4 2 3'
_cell_length_a 6.553
_cell_length_b 6.553
_cell_length_c 6.553
_cell_angle_alpha 90.00
_cell_angle_beta 90.00
_cell_angle_gamma 90.00
loop_
_atom_site_label
_atom_site_type_symbol
_atom_site_fract_x
_atom_site_fract_y
_atom_site_fract_z
_atom_site_occupancy
Co1 Co 0.125 0.125 0.125 1
Si1 Si 0.000 0.000 0.500 1
P1 P 0.250 0.250 0.750 1
```

***

> Among the records above, which one has the lowest uncorrected formation energy?

Co2SiP

***

> Which formula does entry 2 have?

CoSiP2

***

> Which formula does entry 2 have?

CoSiP2